Computed, not measured: a relaxed structure of NpPdCl6 at the GGA-PBE level of DFT.

Structure (POSCAR):
```
NpPdCl6
1.0
7.200 1.037 0.000
2.778 6.660 0.000
1.389 3.330 5.804
Np Pd Cl
1 1 6
direct
0.500 0.500 0.000 Np
0.000 0.000 0.000 Pd
0.774 0.373 0.697 Cl
0.774 0.070 0.303 Cl
0.226 0.930 0.697 Cl
0.226 0.627 0.303 Cl
0.699 0.697 0.000 Cl
0.301 0.303 0.000 Cl
```

Output
Fermi-level density of states = 9.3 states/eV/f.u.
Formation energy without anion corrections = -9.4 eV/f.u.
Spin magnetization = 0.38 μB per atom
Mass density = 3.53 g cm⁻³